1.
This record from Alexandria describes an optimized crystal structure of BaHoP2Pd4. The functional is PBE.

Calculated values
**ΔE_f**: -0.765 eV/atom
**D(E_F)**: 0.5985 states/eV per atom

a b c (Å): 4.1379 4.1379 10.1194
angles (deg): 90.00 90.00 90.00
Last column: nearest neighbours and their distance in Å.
Fractional coordinates of all 8 atoms:
Ba 0.0000 0.0000 0.0000  8 P 3.48, 8 Pd 3.66
Ho 0.0000 0.0000 0.5000  8 Pd 2.90
P 0.5000 0.5000 0.1856  4 Pd 2.36
P 0.5000 0.5000 0.8144  4 Pd 2.36
Pd 0.0000 0.5000 0.2987  2 P 2.36
Pd 0.0000 0.5000 0.7013  2 P 2.36
Pd 0.5000 0.0000 0.2987  2 P 2.36
Pd 0.5000 0.0000 0.7013  2 P 2.36

2.
This record from Alexandria describes an optimized crystal structure of LuSc2Cu. The functional is PBE.

Calculated values
**ΔE_f**: -0.081 eV/atom
**D(E_F)**: 1.6105 states/eV per atom

a b c (Å): 3.2863 3.2863 8.2819
angles (deg): 90.00 90.00 90.00
Last column: nearest neighbours and their distance in Å.
Fractional coordinates of all 4 atoms:
Lu 0.0000 0.0000 0.0000  4 Lu 3.29, 8 Sc 3.43
Sc 0.5000 0.5000 0.3050  4 Cu 2.83
Sc 0.5000 0.5000 0.6950  4 Cu 2.83
Cu 0.0000 0.0000 0.5000  8 Sc 2.83

3.
This record from Alexandria describes an optimized crystal structure of ErAl6Ni3. The functional is PBE.

Calculated values
**ΔE_f**: -0.443 eV/atom
**D(E_F)**: 0.3557 states/eV per atom

a b c (Å): 7.3260 4.1191 10.7017
angles (deg): 90.00 96.42 90.00
Last column: nearest neighbours and their distance in Å.
Fractional coordinates of all 20 atoms:
Er 0.0301 0.2500 0.2141  5 Ni 2.71-2.93
Er 0.9699 0.7500 0.7859  5 Ni 2.71-2.93
Al 0.0514 0.7500 0.4398  3 Ni 2.51-2.55, 4 Al 2.59-2.74
Al 0.2281 0.2500 0.9610  5 Ni 2.41-2.52
Al 0.2810 0.2500 0.7060  3 Ni 2.61-2.69, 6 Al 2.74-2.86
Al 0.4141 0.7500 0.4397  3 Ni 2.41-2.58, 5 Al 2.66-2.67
Al 0.4185 0.7500 0.1070  2 Ni 2.36-2.58
Al 0.4480 0.2500 0.2865  2 Ni 2.30-2.49
Al 0.5520 0.7500 0.7135  2 Ni 2.30-2.49
Al 0.5815 0.2500 0.8930  2 Ni 2.36-2.58
Al 0.5859 0.2500 0.5603  3 Ni 2.41-2.58, 5 Al 2.66-2.67
Al 0.7190 0.7500 0.2940  3 Ni 2.61-2.69, 6 Al 2.74-2.86
Al 0.7719 0.7500 0.0390  5 Ni 2.41-2.52
Al 0.9486 0.2500 0.5602  3 Ni 2.51-2.55, 4 Al 2.59-2.74
Ni 0.1025 0.7500 0.0324  4 Al 2.36-2.43, 2 Ni 2.60
Ni 0.2489 0.2500 0.4607  8 Al 2.41-2.61
Ni 0.3535 0.7500 0.8653  3 Al 2.30-2.52
Ni 0.6465 0.2500 0.1347  3 Al 2.30-2.52
Ni 0.7511 0.7500 0.5393  8 Al 2.41-2.61
Ni 0.8975 0.2500 0.9676  4 Al 2.36-2.43, 2 Ni 2.60

4.
This record from Alexandria describes an optimized crystal structure of YOsSe. The functional is PBE.

Calculated values
**Energy relative to the elements, uncorrected**: 1.5 eV per formula unit
**D(E_F)**: 0.8145 states/eV per atom

a b c (Å): 4.6549 4.6549 4.6549
angles (deg): 60.00 60.00 60.00
Last column: nearest neighbours and their distance in Å.
Fractional coordinates of all 3 atoms:
Y 0.0000 0.0000 0.0000  4 Se 2.85, 4 Os 2.85
Os 0.2500 0.2500 0.2500  4 Y 2.85
Se 0.7500 0.7500 0.7500  4 Y 2.85

5.
This record from Alexandria describes an optimized crystal structure of Re3Te. The functional is PBE.

Calculated values
**Energy relative to the elements, uncorrected**: 3.8 eV per formula unit
**D(E_F)**: 0.5424 states/eV per atom

a b c (Å): 5.1847 5.1847 5.1847
angles (deg): 116.42 116.42 116.42
Last column: nearest neighbours and their distance in Å.
Fractional coordinates of all 4 atoms:
Re 0.0000 0.5000 0.5000  6 Re 2.73-2.98, 2 Te 2.73
Re 0.5000 0.0000 0.5000  2 Te 2.73, 6 Re 2.73-2.98
Re 0.5000 0.5000 0.0000  6 Re 2.73-2.98, 2 Te 2.73
Te 0.0000 0.0000 0.0000  6 Re 2.73, 2 Te 2.98

6.
This record from Alexandria describes an optimized crystal structure of Ba8BiP4. The functional is PBE.

Calculated values
**ΔE_f**: -0.908 eV/atom
**D(E_F)**: 0.2627 states/eV per atom

a b c (Å): 9.4379 9.4379 11.5041
angles (deg): 126.39 126.39 59.74
Last column: nearest neighbours and their distance in Å.
Fractional coordinates of all 13 atoms:
Ba 0.0019 0.4643 0.2974  3 P 3.16-3.26
Ba 0.0032 0.0032 0.3166  3 P 3.24-3.25, 1 Bi 3.61
Ba 0.4643 0.0019 0.2974  3 P 3.16-3.26
Ba 0.4775 0.4775 0.2896  3 P 3.10-3.15
Ba 0.5225 0.5225 0.7104  3 P 3.10-3.15
Ba 0.5357 0.9981 0.7026  3 P 3.16-3.26
Ba 0.9968 0.9968 0.6834  3 P 3.24-3.25, 1 Bi 3.61
Ba 0.9981 0.5357 0.7026  3 P 3.16-3.26
Bi 0.0000 0.0000 0.0000  6 Ba 3.61-3.62
P 0.2586 0.7414 0.5000  6 Ba 3.15-3.25
P 0.2736 0.2736 0.5437  6 Ba 3.10-3.26
P 0.7264 0.7264 0.4563  6 Ba 3.10-3.26
P 0.7414 0.2586 0.5000  6 Ba 3.15-3.25

What is the formula in the fifth record? Re3Te